# 1
A plane-wave DFT calculation with PBE was carried out for a geometry-optimized Ac5TbPb6 structure.

a b c (Å): 8.388 8.388 9.104
angles (deg): 94.65 94.65 135.76
Fractional positions:
1 Ac 0.000 0.000 0.000
2 Ac 0.323 0.677 0.000
3 Ac 0.340 0.660 0.500
4 Ac 0.660 0.340 0.500
5 Ac 0.677 0.323 0.000
6 Tb 0.000 0.000 0.500
7 Pb 0.144 0.826 0.263
8 Pb 0.174 0.856 0.737
9 Pb 0.451 0.451 0.756
10 Pb 0.549 0.549 0.244
11 Pb 0.826 0.144 0.263
12 Pb 0.856 0.174 0.737

Summary:
symmetry: C2/m
raw total energy: -4.408 eV per atom
energy above the lowest structure with this stoichiometry: 0.011 eV/atom
energy relative to the elements: -0.456 eV per atom

=====

# 2
A plane-wave DFT calculation with PBE was carried out for a geometry-optimized PuBi2Pt2 structure.

a b c (Å): 5.639 4.276 10.563
angles (deg): 90.00 98.94 90.00
Fractional positions:
1 Pu 0.076 0.250 0.281
2 Pu 0.924 0.750 0.719
3 Bi 0.268 0.750 0.049
4 Bi 0.403 0.250 0.635
5 Bi 0.597 0.750 0.365
6 Bi 0.732 0.250 0.951
7 Pt 0.163 0.750 0.498
8 Pt 0.205 0.250 0.869
9 Pt 0.795 0.750 0.131
10 Pt 0.837 0.250 0.502

Summary:
symmetry: P2_1/m
raw total energy: -7.228 eV per atom
energy relative to the elements: -0.392 eV per atom